Density functional theory data (PBE-GGA) for an optimized crystal structure of Lu4Sn2B.

Magnetization   0.00 μB per formula unit
DOS at the Fermi energy   0.428 states/eV/atom
Calculated total energy   -5.20 eV/atom
ΔH_f (0 K)   -0.5208 eV/atom

Unit cell a=8.5167 b=8.5167 c=8.5167 alpha=147.45 beta=147.45 gamma=46.70
Sites, in units of the cell vectors:
1 Lu 0.0000 0.5000 0.5000
2 Lu 0.1634 0.1634 0.0000
3 Lu 0.5000 0.0000 0.5000
4 Lu 0.8366 0.8366 0.0000
5 Sn 0.3613 0.3613 0.0000
6 Sn 0.6387 0.6387 0.0000
7 B 0.0000 0.0000 0.0000